# 1
Here is TiReB3 at its PBEsol-relaxed geometry from the Alexandria database. Energies are from meta-GGA SCAN.

```
data_TiReB3
_symmetry_space_group_name_H-M 'P 1'
_symmetry_Int_Tables_number 1
_cell_length_a 3.9969
_cell_length_b 3.9969
_cell_length_c 3.9969
_cell_angle_alpha 90.00
_cell_angle_beta 90.00
_cell_angle_gamma 90.00
loop_
_symmetry_equiv_pos_as_xyz
'x,y,z'
loop_
_atom_site_label
_atom_site_fract_x
_atom_site_fract_y
_atom_site_fract_z
_atom_site_occupancy
Ti1 0.0000 0.0000 0.0000 1
Re1 0.5000 0.5000 0.5000 1
B1 0.0000 0.5000 0.5000 1
B2 0.5000 0.0000 0.5000 1
B3 0.5000 0.5000 0.0000 1
```

Results
Raw total energy in eV per atom: -21.260
Energy of formation from the pure elements in eV per atom: 0.623
Spin magnetization in μB per formula unit: 1.82
DOS at the Fermi energy in states/eV per atom: 0.47

# 2
Here is CdAu at its PBEsol-relaxed geometry from the Alexandria database. Energies are from meta-GGA SCAN.

```
data_CdAu
_symmetry_space_group_name_H-M 'P 1'
_symmetry_Int_Tables_number 1
_cell_length_a 4.9848
_cell_length_b 4.9848
_cell_length_c 4.9848
_cell_angle_alpha 35.00
_cell_angle_beta 35.00
_cell_angle_gamma 35.00
loop_
_symmetry_equiv_pos_as_xyz
'x,y,z'
loop_
_atom_site_label
_atom_site_fract_x
_atom_site_fract_y
_atom_site_fract_z
_atom_site_occupancy
Cd1 0.0000 0.0000 0.0000 1
Au1 0.5000 0.5000 0.5000 1
```

Results
Raw total energy in eV per atom: -49.911
Energy of formation from the pure elements in eV per atom: -0.125
Spin magnetization in μB per formula unit: 0.00
DOS at the Fermi energy in states/eV per atom: 0.34

# 3
Here is LaZnMoIr2 at its PBEsol-relaxed geometry from the Alexandria database. Energies are from meta-GGA SCAN.

```
data_LaZnMoIr2
_symmetry_space_group_name_H-M 'P 1'
_symmetry_Int_Tables_number 1
_cell_length_a 4.8435
_cell_length_b 4.8435
_cell_length_c 5.0799
_cell_angle_alpha 90.00
_cell_angle_beta 90.00
_cell_angle_gamma 90.00
loop_
_symmetry_equiv_pos_as_xyz
'x,y,z'
loop_
_atom_site_label
_atom_site_fract_x
_atom_site_fract_y
_atom_site_fract_z
_atom_site_occupancy
La1 0.0000 0.0000 0.0000 1
Zn1 0.0000 0.0000 0.5000 1
Mo1 0.5000 0.5000 0.5000 1
Ir1 0.0000 0.5000 0.0000 1
Ir2 0.5000 0.0000 0.0000 1
```

Results
Raw total energy in eV per atom: -44.722
Energy of formation from the pure elements in eV per atom: 2.019
Spin magnetization in μB per formula unit: 4.16
DOS at the Fermi energy in states/eV per atom: 0.56

# 4
Here is BaScW2 at its PBEsol-relaxed geometry from the Alexandria database. Energies are from meta-GGA SCAN.

```
data_BaScW2
_symmetry_space_group_name_H-M 'P 1'
_symmetry_Int_Tables_number 1
_cell_length_a 5.8796
_cell_length_b 5.8796
_cell_length_c 2.9414
_cell_angle_alpha 100.09
_cell_angle_beta 100.09
_cell_angle_gamma 122.42
loop_
_symmetry_equiv_pos_as_xyz
'x,y,z'
loop_
_atom_site_label
_atom_site_fract_x
_atom_site_fract_y
_atom_site_fract_z
_atom_site_occupancy
Ba1 0.0000 0.0000 0.0000 1
Sc1 0.5000 0.5000 0.0000 1
W1 0.0000 0.5000 0.5000 1
W2 0.5000 0.0000 0.5000 1
```

Results
Raw total energy in eV per atom: -46.922
Energy of formation from the pure elements in eV per atom: 1.369
Spin magnetization in μB per formula unit: 0.00
DOS at the Fermi energy in states/eV per atom: 1.04

# 5
Here is Na5Si34 at its PBEsol-relaxed geometry from the Alexandria database. Energies are from meta-GGA SCAN.

```
data_Na5Si34
_symmetry_space_group_name_H-M 'P 1'
_symmetry_Int_Tables_number 1
_cell_length_a 10.3700
_cell_length_b 10.3700
_cell_length_c 10.3700
_cell_angle_alpha 60.07
_cell_angle_beta 60.07
_cell_angle_gamma 60.07
loop_
_symmetry_equiv_pos_as_xyz
'x,y,z'
loop_
_atom_site_label
_atom_site_fract_x
_atom_site_fract_y
_atom_site_fract_z
_atom_site_occupancy
Na1 0.0000 0.5000 0.5000 1
Na2 0.1250 0.1250 0.1250 1
Na3 0.5000 0.0000 0.5000 1
Na4 0.5000 0.5000 0.0000 1
Na5 0.8750 0.8750 0.8750 1
Si1 0.1285 0.1285 0.5059 1
Si2 0.1285 0.5059 0.1285 1
Si3 0.1292 0.1292 0.7362 1
Si4 0.1288 0.5062 0.7361 1
Si5 0.1292 0.7362 0.1292 1
Si6 0.1288 0.7361 0.5062 1
Si7 0.2639 0.4938 0.8712 1
Si8 0.2639 0.8712 0.4938 1
Si9 0.2638 0.8708 0.8708 1
Si10 0.2824 0.2824 0.2824 1
Si11 0.2824 0.2824 0.6538 1
Si12 0.2824 0.6538 0.2824 1
Si13 0.3462 0.7176 0.7176 1
Si14 0.3754 0.3754 0.3754 1
Si15 0.4938 0.2639 0.8712 1
Si16 0.4938 0.8712 0.2639 1
Si17 0.4941 0.8715 0.8715 1
Si18 0.5059 0.1285 0.1285 1
Si19 0.5062 0.1288 0.7361 1
Si20 0.5062 0.7361 0.1288 1
Si21 0.6246 0.6246 0.6246 1
Si22 0.6538 0.2824 0.2824 1
Si23 0.7176 0.3462 0.7176 1
Si24 0.7176 0.7176 0.3462 1
Si25 0.7176 0.7176 0.7176 1
Si26 0.7362 0.1292 0.1292 1
Si27 0.7361 0.1288 0.5062 1
Si28 0.7361 0.5062 0.1288 1
Si29 0.8712 0.2639 0.4938 1
Si30 0.8708 0.2638 0.8708 1
Si31 0.8712 0.4938 0.2639 1
Si32 0.8708 0.8708 0.2638 1
Si33 0.8715 0.4941 0.8715 1
Si34 0.8715 0.8715 0.4941 1
```

Results
Raw total energy in eV per atom: -9.249
Energy relative to the elements, uncorrected in meV/atom: 23
Spin magnetization in μB per formula unit: 0.00
DOS at the Fermi energy in states/eV per atom: 0.22

# 6
Here is ScCdOs2Pb at its PBEsol-relaxed geometry from the Alexandria database. Energies are from meta-GGA SCAN.

```
data_ScCdOs2Pb
_symmetry_space_group_name_H-M 'P 1'
_symmetry_Int_Tables_number 1
_cell_length_a 4.8764
_cell_length_b 4.8764
_cell_length_c 5.0331
_cell_angle_alpha 90.00
_cell_angle_beta 90.00
_cell_angle_gamma 90.00
loop_
_symmetry_equiv_pos_as_xyz
'x,y,z'
loop_
_atom_site_label
_atom_site_fract_x
_atom_site_fract_y
_atom_site_fract_z
_atom_site_occupancy
Sc1 0.0000 0.0000 0.0000 1
Cd1 0.5000 0.5000 0.5000 1
Os1 0.0000 0.5000 0.5000 1
Os2 0.5000 0.0000 0.5000 1
Pb1 0.5000 0.5000 0.0000 1
```

Results
Raw total energy in eV per atom: -50.863
Energy of formation from the pure elements in eV per atom: 1.976
Spin magnetization in μB per formula unit: 2.20
DOS at the Fermi energy in states/eV per atom: 0.85

# 7
Here is WSeF3 at its PBEsol-relaxed geometry from the Alexandria database. Energies are from meta-GGA SCAN.

```
data_WSeF3
_symmetry_space_group_name_H-M 'P 1'
_symmetry_Int_Tables_number 1
_cell_length_a 4.1113
_cell_length_b 4.1113
_cell_length_c 4.1113
_cell_angle_alpha 90.00
_cell_angle_beta 90.00
_cell_angle_gamma 90.00
loop_
_symmetry_equiv_pos_as_xyz
'x,y,z'
loop_
_atom_site_label
_atom_site_fract_x
_atom_site_fract_y
_atom_site_fract_z
_atom_site_occupancy
W1 0.0000 0.0000 0.0000 1
Se1 0.5000 0.5000 0.5000 1
F1 0.0000 0.0000 0.5000 1
F2 0.0000 0.5000 0.0000 1
F3 0.5000 0.0000 0.0000 1
```

Results
Raw total energy in eV per atom: -21.039
Energy relative to the elements, uncorrected in meV/atom: -962
Spin magnetization in μB per formula unit: 1.00
DOS at the Fermi energy in states/eV per atom: 0.44

# 8
Here is TiP3C at its PBEsol-relaxed geometry from the Alexandria database. Energies are from meta-GGA SCAN.

```
data_TiP3C
_symmetry_space_group_name_H-M 'P 1'
_symmetry_Int_Tables_number 1
_cell_length_a 3.9785
_cell_length_b 3.9785
_cell_length_c 3.9785
_cell_angle_alpha 90.00
_cell_angle_beta 90.00
_cell_angle_gamma 90.00
loop_
_symmetry_equiv_pos_as_xyz
'x,y,z'
loop_
_atom_site_label
_atom_site_fract_x
_atom_site_fract_y
_atom_site_fract_z
_atom_site_occupancy
Ti1 0.0000 0.0000 0.0000 1
P1 0.0000 0.5000 0.5000 1
P2 0.5000 0.0000 0.5000 1
P3 0.5000 0.5000 0.0000 1
C1 0.5000 0.5000 0.5000 1
```

Results
Raw total energy in eV per atom: -10.666
Energy of formation from the pure elements in eV per atom: 0.799
Spin magnetization in μB per formula unit: 0.00
DOS at the Fermi energy in states/eV per atom: 0.77

# 9
Here is Sr2Bi2O5 at its PBEsol-relaxed geometry from the Alexandria database. Energies are from meta-GGA SCAN.

```
data_Sr2Bi2O5
_symmetry_space_group_name_H-M 'P 1'
_symmetry_Int_Tables_number 1
_cell_length_a 14.2297
_cell_length_b 6.1695
_cell_length_c 7.6322
_cell_angle_alpha 90.00
_cell_angle_beta 90.00
_cell_angle_gamma 90.00
loop_
_symmetry_equiv_pos_as_xyz
'x,y,z'
loop_
_atom_site_label
_atom_site_fract_x
_atom_site_fract_y
_atom_site_fract_z
_atom_site_occupancy
Sr1 0.0522 0.2500 0.1231 1
Sr2 0.0651 0.2500 0.6265 1
Sr3 0.4349 0.7500 0.1265 1
Sr4 0.4478 0.7500 0.6231 1
Sr5 0.5522 0.2500 0.3769 1
Sr6 0.5651 0.2500 0.8735 1
Sr7 0.9349 0.7500 0.3735 1
Sr8 0.9478 0.7500 0.8769 1
Bi1 0.1868 0.7500 0.3853 1
Bi2 0.1938 0.7500 0.8662 1
Bi3 0.3062 0.2500 0.3662 1
Bi4 0.3132 0.2500 0.8853 1
Bi5 0.6868 0.7500 0.1147 1
Bi6 0.6938 0.7500 0.6338 1
Bi7 0.8062 0.2500 0.1338 1
Bi8 0.8132 0.2500 0.6147 1
O1 0.0873 0.5069 0.3674 1
O2 0.0873 0.9931 0.3674 1
O3 0.0933 0.5081 0.8819 1
O4 0.0933 0.9919 0.8819 1
O5 0.2472 0.7500 0.1276 1
O6 0.2528 0.2500 0.6276 1
O7 0.4067 0.0081 0.3819 1
O8 0.4067 0.4919 0.3819 1
O9 0.4127 0.0069 0.8674 1
O10 0.4127 0.4931 0.8674 1
O11 0.5873 0.5069 0.1326 1
O12 0.5873 0.9931 0.1326 1
O13 0.5933 0.5081 0.6181 1
O14 0.5933 0.9919 0.6181 1
O15 0.7472 0.7500 0.3724 1
O16 0.7528 0.2500 0.8724 1
O17 0.9067 0.0081 0.1181 1
O18 0.9067 0.4919 0.1181 1
O19 0.9127 0.0069 0.6326 1
O20 0.9127 0.4931 0.6326 1
```

Results
Raw total energy in eV per atom: -27.914
Energy relative to the elements, uncorrected in meV/atom: -2040
Spin magnetization in μB per formula unit: 0.00
DOS at the Fermi energy in states/eV per atom: 0.00

# 10
Here is Al2HAu2 at its PBEsol-relaxed geometry from the Alexandria database. Energies are from meta-GGA SCAN.

```
data_Al2HAu2
_symmetry_space_group_name_H-M 'P 1'
_symmetry_Int_Tables_number 1
_cell_length_a 7.5055
_cell_length_b 7.5055
_cell_length_c 2.8318
_cell_angle_alpha 90.00
_cell_angle_beta 90.00
_cell_angle_gamma 90.00
loop_
_symmetry_equiv_pos_as_xyz
'x,y,z'
loop_
_atom_site_label
_atom_site_fract_x
_atom_site_fract_y
_atom_site_fract_z
_atom_site_occupancy
Al1 0.1307 0.3693 0.0000 1
Al2 0.3693 0.8693 0.0000 1
Al3 0.6307 0.1307 0.0000 1
Al4 0.8693 0.6307 0.0000 1
H1 0.0000 0.0000 0.5000 1
H2 0.5000 0.5000 0.5000 1
Au1 0.1700 0.6700 0.5000 1
Au2 0.3300 0.1700 0.5000 1
Au3 0.6700 0.8300 0.5000 1
Au4 0.8300 0.3300 0.5000 1
```

Results
Raw total energy in eV per atom: -31.469
Spin magnetization in μB per formula unit: 0.00
DOS at the Fermi energy in states/eV per atom: 0.25

# 11
Here is SbOsIN2 at its PBEsol-relaxed geometry from the Alexandria database. Energies are from meta-GGA SCAN.

```
data_SbOsIN2
_symmetry_space_group_name_H-M 'P 1'
_symmetry_Int_Tables_number 1
_cell_length_a 3.9254
_cell_length_b 3.9254
_cell_length_c 6.5373
_cell_angle_alpha 90.00
_cell_angle_beta 90.00
_cell_angle_gamma 90.00
loop_
_symmetry_equiv_pos_as_xyz
'x,y,z'
loop_
_atom_site_label
_atom_site_fract_x
_atom_site_fract_y
_atom_site_fract_z
_atom_site_occupancy
Sb1 0.0000 0.0000 0.0000 1
Os1 0.5000 0.5000 0.5000 1
I1 0.0000 0.0000 0.5000 1
N1 0.0000 0.5000 0.0000 1
N2 0.5000 0.0000 0.0000 1
```

Results
Raw total energy in eV per atom: -30.733
Energy relative to the elements, uncorrected in meV/atom: 2160
Spin magnetization in μB per formula unit: 3.54
DOS at the Fermi energy in states/eV per atom: 0.88

# 12
Here is MnZnSeBr2 at its PBEsol-relaxed geometry from the Alexandria database. Energies are from meta-GGA SCAN.

```
data_MnZnSeBr2
_symmetry_space_group_name_H-M 'P 1'
_symmetry_Int_Tables_number 1
_cell_length_a 4.9049
_cell_length_b 4.9049
_cell_length_c 5.1068
_cell_angle_alpha 90.00
_cell_angle_beta 90.00
_cell_angle_gamma 90.00
loop_
_symmetry_equiv_pos_as_xyz
'x,y,z'
loop_
_atom_site_label
_atom_site_fract_x
_atom_site_fract_y
_atom_site_fract_z
_atom_site_occupancy
Mn1 0.0000 0.0000 0.0000 1
Zn1 0.5000 0.5000 0.5000 1
Se1 0.5000 0.5000 0.0000 1
Br1 0.0000 0.5000 0.5000 1
Br2 0.5000 0.0000 0.5000 1
```

Results
Raw total energy in eV per atom: -18.304
Energy relative to the elements, uncorrected in meV/atom: -151
Spin magnetization in μB per formula unit: 5.06
DOS at the Fermi energy in states/eV per atom: 0.27